# 1
# Re2SiSb

A relaxed structure of Re2SiSb (GGA-PBE, Alexandria via LeMat-Bulk).

Cell and atoms, written as POSCAR:
```
Re2SiSb
1.0
-0.8619 -0.4281 -5.0877
-4.0624 -3.0666 -0.9507
1.5836 4.4161 2.1911
Si Re Sb
1 2 1
direct
0.2500 0.7500 0.5000
0.4699 0.4699 0.0000
0.0301 0.0301 0.0000
0.7500 0.2500 0.5000
```

As for the space group: Immm, No. 71. Its density of states at the Fermi level is 0.76 states/eV/atom. For the calculated volume, the calculation gives 65.6 Å³ per cell.


# 2
# Re2SiSb

A relaxed structure of Re2SiSb (GGA-PBE, Alexandria via LeMat-Bulk).

Cell and atoms, written as POSCAR:
```
Re2SiSb
1.0
3.2718 0.0000 0.0000
0.0000 3.2718 0.0000
0.0000 0.0000 6.0820
Re Sb Si
2 1 1
direct
0.0000 0.0000 0.9446
0.5000 0.5000 0.2609
0.0000 0.0000 0.4891
0.5000 0.5000 0.8054
```

As for the space group: P4mm, No. 99. Its density of states at the Fermi level is 0.70 states/eV/atom. For the calculated volume, the calculation gives 65.1 Å³ per cell.


| no. | polymorph energy (0 for the lowest one) (meV/atom) | calculated density (Mg/m³) | uncorrected formation energy (eV/atom) |
| --- | --- | --- | --- |
| 1 | 322 | 13.226 | 0.5378 |
| 2 | 105 | 13.320 | 0.3205 |